# CePuHf2

A geometry-optimized CePuHf2 structure (PBE-GGA, the Alexandria database).

The space group is R3m (No. 160, hexagonal axes) and the conventional cell measures 3.2485, 3.2485 and 32.0268 Å, with angles of 90.00, 90.00 and 120.00 degrees. The inequivalent atoms are Ce at (0.0000, 0.0000, 0.0000), Pu at (0.0000, 0.0000, 0.8340), Hf at (0.0000, 0.0000, 0.4189) and Hf at (0.0000, 0.0000, 0.5818).

The crystal system is trigonal.

# AgGe2Rh

A geometry-optimized AgGe2Rh structure (PBE-GGA, the Alexandria database).

The space group is Fm-3m (No. 225) and the conventional cell measures 6.3924, 6.3924 and 6.3924 Å, with angles of 90.00, 90.00 and 90.00 degrees. The inequivalent atoms are Ag at (0.0000, 0.0000, 0.0000), Ge at (0.2500, 0.2500, 0.2500) and Rh at (0.0000, 0.0000, 0.5000).

The crystal system is cubic.

Number 1: energy of formation 0.1820 eV per atom, DOS(E_F) 9.92 states/eV/f.u., density 12.61 Mg/m³. Number 2: energy of formation 0.0578 eV per atom, DOS(E_F) 2.48 states/eV/f.u., density 9.05 Mg/m³.